*w*
Below is a geometry-optimized TlCo3Ni structure, with properties calculated at the GGA-PBE level.

The space group is Pm-3m (No. 221) and the conventional cell measures 4.732, 4.732 and 4.732 Å, with angles of 90.00, 90.00 and 90.00 degrees. The asymmetric unit holds Tl at (0.000, 0.000, 0.000), Co at (0.000, 0.000, 0.500) and Ni at (0.500, 0.500, 0.500).

The calculation puts the density of states at the Fermi level at 2.656 states/eV/atom.


*x*
Below is a geometry-optimized TlCo3Ni structure, with properties calculated at the GGA-PBE level.

The space group is Pm-3m (No. 221) and the conventional cell measures 4.351, 4.351 and 4.351 Å, with angles of 90.00, 90.00 and 90.00 degrees. The asymmetric unit holds Tl at (0.000, 0.000, 0.000), Co at (0.000, 0.500, 0.500) and Ni at (0.500, 0.500, 0.500).

The calculation puts the density of states at the Fermi level at 1.679 states/eV/atom.


*x* ends up most stable, edging out the next structure by 1081 meV per atom.